A PBEsol-optimized structure of KTlCd2, computed with SCAN.

Lattice parameters (Å, degrees): 3.563 3.563 8.684 90.00 90.00 90.00
Fractional coordinates of all 4 atoms:
K 0.000 0.000 0.492
Tl 0.500 0.500 0.794
Cd 0.500 0.500 0.201
Cd 0.000 0.000 0.013

Values from the calculation:
The value obtained for the distance to the lowest polymorph of the same formula is 14 meV per atom. Its formation energy is -0.05 eV per atom.